Version A
Computed, not measured: ScHgAs2 at its PBEsol-relaxed geometry at the meta-GGA SCAN level of DFT.

Cell lengths 3.633, 3.653, 6.149 Å; angles 90.00, 90.00, 90.00 degrees
Space group Pmmm (No. 47)
Inequivalent atoms, fractional coordinates:
Sc1 0.000 0.000 0.000 [1 per cell]
Hg1 0.000 0.000 0.500 [1 per cell]
As1 0.500 0.500 0.201 [2 per cell]

Calculated volume (Å³/atom): 20.40
ρ (g cm⁻³): 8.0
Total moment (μB/cell): 0.000

---

Version B
Computed, not measured: ScHgAs2 at its PBEsol-relaxed geometry at the meta-GGA SCAN level of DFT.

Cell lengths 7.410, 7.410, 6.050 Å; angles 90.00, 90.00, 90.00 degrees
Space group I-42d (No. 122)
Inequivalent atoms, fractional coordinates:
Sc1 0.000 0.000 0.000 [4 per cell]
Hg1 0.000 0.000 0.500 [4 per cell]
As1 0.249 0.750 0.625 [8 per cell]

Calculated volume (Å³/atom): 20.76
ρ (g cm⁻³): 7.9
Total moment (μB/cell): 0.000

---

Most stable structure, least stable structure: version A, version B.

---

Version A
Computed, not measured: HgAs2Se at its PBEsol-relaxed geometry at the meta-GGA SCAN level of DFT.

Cell lengths 3.8630, 3.8630, 19.6755 Å; angles 90.00, 90.00, 120.00 degrees
Space group R-3m (No. 166, hexagonal axes)
Inequivalent atoms, fractional coordinates:
Hg1 0.0000 0.0000 0.0000 [3 per cell]
As1 0.0000 0.0000 0.2482 [6 per cell]
Se1 0.0000 0.0000 0.5000 [3 per cell]

Calculated volume (Å³/atom): 21.19
ρ (g cm⁻³): 8.4
Total moment (μB/cell): 0.000

---

Version B
Computed, not measured: HgAs2Se at its PBEsol-relaxed geometry at the meta-GGA SCAN level of DFT.

Cell lengths 3.637, 4.015, 11.806 Å; angles 90.00, 90.00, 90.00 degrees
Space group Imm2 (No. 44)
Inequivalent atoms, fractional coordinates:
Hg1 0.000 0.000 0.000 [2 per cell]
As1 0.000 0.000 0.583 [2 per cell]
As2 0.000 0.500 0.241 [2 per cell]
Se1 0.000 0.500 0.812 [2 per cell]

Calculated volume (Å³/atom): 21.55
ρ (g cm⁻³): 8.3
Total moment (μB/cell): 0.000

---

Most stable structure, least stable structure: version A, version B.

---

Version A
Computed, not measured: HgAs2Se at its PBEsol-relaxed geometry at the meta-GGA SCAN level of DFT.

Cell lengths 3.339, 5.216, 9.303 Å; angles 90.00, 90.00, 90.00 degrees
Space group Cmmm (No. 65)
Inequivalent atoms, fractional coordinates:
Hg1 0.000 0.000 0.000 [2 per cell]
As1 0.000 0.500 0.275 [4 per cell]
Se1 0.000 0.000 0.500 [2 per cell]

Calculated volume (Å³/atom): 20.25
ρ (g cm⁻³): 8.8
Total moment (μB/cell): 0.000

---

Version B
Computed, not measured: HgAs2Se at its PBEsol-relaxed geometry at the meta-GGA SCAN level of DFT.

Cell lengths 6.819, 6.819, 6.819 Å; angles 90.00, 90.00, 90.00 degrees
Space group Fm-3m (No. 225)
Inequivalent atoms, fractional coordinates:
Hg1 0.000 0.000 0.000 [4 per cell]
As1 0.250 0.250 0.250 [8 per cell]
Se1 0.000 0.000 0.500 [4 per cell]

Calculated volume (Å³/atom): 19.81
ρ (g cm⁻³): 9.0
Total moment (μB/cell): 0.000

---

Version C
Computed, not measured: HgAs2Se at its PBEsol-relaxed geometry at the meta-GGA SCAN level of DFT.

Cell lengths 3.617, 3.617, 6.879 Å; angles 90.00, 90.00, 90.00 degrees
Space group P4/mmm (No. 123)
Inequivalent atoms, fractional coordinates:
Hg1 0.000 0.000 0.000 [1 per cell]
As1 0.500 0.500 0.321 [2 per cell]
Se1 0.000 0.000 0.500 [1 per cell]

Calculated volume (Å³/atom): 22.50
ρ (g cm⁻³): 7.9
Total moment (μB/cell): 0.000

---

Most stable structure, least stable structure: version C, version B.

---

Version A
Computed, not measured: Si2HgAs at its PBEsol-relaxed geometry at the meta-GGA SCAN level of DFT.

Cell lengths 3.265, 3.265, 6.961 Å; angles 90.00, 90.00, 90.00 degrees
Space group P4/mmm (No. 123)
Inequivalent atoms, fractional coordinates:
Si1 0.000 0.000 0.199 [2 per cell]
Hg1 0.500 0.500 0.500 [1 per cell]
As1 0.500 0.500 0.000 [1 per cell]

Calculated volume (Å³/atom): 18.55
ρ (g cm⁻³): 7.4
Total moment (μB/cell): 0.000

---

Version B
Computed, not measured: Si2HgAs at its PBEsol-relaxed geometry at the meta-GGA SCAN level of DFT.

Cell lengths 3.293, 4.454, 9.977 Å; angles 90.00, 90.00, 90.00 degrees
Space group Imm2 (No. 44)
Inequivalent atoms, fractional coordinates:
Si1 0.000 0.000 0.000 [2 per cell]
Si2 0.000 0.500 0.295 [2 per cell]
Hg1 0.000 0.000 0.492 [2 per cell]
As1 0.000 0.500 0.703 [2 per cell]

Calculated volume (Å³/atom): 18.29
ρ (g cm⁻³): 7.5
Total moment (μB/cell): 0.000

---

Most stable structure, least stable structure: version B, version A.